Crystalline AcFeBi2O6 at its relaxed geometry. Source: Alexandria via LeMat-Bulk, functional PBE with a Hubbard U.

abc: 6.029 6.029 6.116
angles: 60.40 60.44 59.93
Site moments in Bohr magnetons follow the coordinates.
Atoms (fractional coordinates):
1 Bi 0.021 0.021 0.936  0.02
2 Bi 0.525 0.526 0.424  0.01
3 Fe 0.315 0.314 0.057  4.31
4 O 0.192 0.981 0.238  0.10
5 O 0.982 0.589 0.238  0.10
6 O 0.675 0.158 0.760  0.07
7 O 0.158 0.408 0.759  0.07
8 O 0.589 0.192 0.238  0.10
9 O 0.408 0.675 0.759  0.07
10 Ac 0.797 0.798 0.608  0.03

As for the crystal system: triclinic. The value obtained for the magnetization is 5.02 μB per formula unit. The symmetry is P1 (1). The energy is -6.455 eV per atom.